{
  "formula": "RbTl7Sn2",
  "functional": "PBE",
  "state": "relaxed",
  "lattice_angstrom": [[5.353, -7.154, 0.000], [5.353, 7.154, 0.000], [0.000, 0.000, 5.139]],
  "species": ["Rb", "Tl", "Tl", "Tl", "Tl", "Tl", "Tl", "Tl", "Sn", "Sn"],
  "fractional_positions": [[0.000, 0.000, 0.000], [0.125, 0.386, 0.500], [0.347, 0.653, 0.000], [0.386, 0.125, 0.500], [0.500, 0.500, 0.500], [0.614, 0.875, 0.500], [0.653, 0.347, 0.000], [0.875, 0.614, 0.500], [0.226, 0.774, 0.500], [0.774, 0.226, 0.500]],
  "ef_kj_per_mol_atoms": 8.5,
  "final_energy_ev_per_atom": -2.47,
  "rho_g_cm3": 7.40
}

---

{
  "formula": "Rb3Tl8Sn3",
  "functional": "PBE",
  "state": "relaxed",
  "lattice_angstrom": [[-2.718, 5.977, 7.599], [2.718, -5.977, 7.599], [2.718, 5.977, -7.599]],
  "species": ["Rb", "Rb", "Rb", "Tl", "Tl", "Tl", "Tl", "Tl", "Tl", "Tl", "Tl", "Sn", "Sn", "Sn"],
  "fractional_positions": [[0.000, 0.000, 0.000], [0.300, 0.300, 0.000], [0.700, 0.700, 0.000], [0.020, 0.662, 0.358], [0.154, 0.871, 0.283], [0.304, 0.662, 0.642], [0.412, 0.129, 0.283], [0.588, 0.871, 0.717], [0.696, 0.338, 0.358], [0.846, 0.129, 0.717], [0.980, 0.338, 0.642], [0.319, 0.500, 0.819], [0.500, 0.000, 0.500], [0.681, 0.500, 0.181]],
  "ef_kj_per_mol_atoms": -6.6,
  "final_energy_ev_per_atom": -2.49,
  "rho_g_cm3": 7.56
}

---

{
  "formula": "Rb5Tl2Sn4",
  "functional": "PBE",
  "state": "relaxed",
  "lattice_angstrom": [[8.089, -3.628, 0.000], [8.089, 3.628, 0.000], [-2.727, 0.000, 7.993]],
  "species": ["Rb", "Rb", "Rb", "Rb", "Rb", "Tl", "Tl", "Sn", "Sn", "Sn", "Sn"],
  "fractional_positions": [[0.000, 0.000, 0.000], [0.151, 0.627, 0.577], [0.373, 0.849, 0.423], [0.627, 0.151, 0.577], [0.849, 0.373, 0.423], [0.216, 0.216, 0.825], [0.784, 0.784, 0.175], [0.237, 0.237, 0.210], [0.393, 0.393, 0.135], [0.607, 0.607, 0.865], [0.763, 0.763, 0.790]],
  "ef_kj_per_mol_atoms": 0.6,
  "final_energy_ev_per_atom": -2.32,
  "rho_g_cm3": 4.64
}

---

{
  "formula": "RbTl14Sn",
  "functional": "PBE",
  "state": "relaxed",
  "lattice_angstrom": [[11.006, 0.000, 0.000], [0.000, 4.080, 5.663], [0.000, -4.080, 5.663]],
  "species": ["Rb", "Tl", "Tl", "Tl", "Tl", "Tl", "Tl", "Tl", "Tl", "Tl", "Tl", "Tl", "Tl", "Tl", "Tl", "Sn"],
  "fractional_positions": [[0.000, 0.000, 0.000], [0.000, 0.520, 0.930], [0.000, 0.930, 0.520], [0.229, 0.258, 0.258], [0.253, 0.310, 0.740], [0.253, 0.740, 0.310], [0.272, 0.791, 0.791], [0.500, 0.030, 0.030], [0.500, 0.080, 0.514], [0.500, 0.514, 0.080], [0.500, 0.566, 0.566], [0.728, 0.791, 0.791], [0.747, 0.310, 0.740], [0.747, 0.740, 0.310], [0.771, 0.258, 0.258], [0.000, 0.455, 0.455]],
  "ef_kj_per_mol_atoms": 0.2,
  "final_energy_ev_per_atom": -2.38,
  "rho_g_cm3": 10.01
}

---

{
  "formula": "RbTl2Sn",
  "functional": "PBE",
  "state": "relaxed",
  "lattice_angstrom": [[-2.893, 2.893, 10.536], [2.893, -2.893, 10.536], [2.893, 2.893, -10.536]],
  "species": ["Rb", "Rb", "Tl", "Tl", "Tl", "Tl", "Sn", "Sn"],
  "fractional_positions": [[0.000, 0.000, 0.000], [0.750, 0.250, 0.500], [0.268, 0.625, 0.143], [0.375, 0.518, 0.643], [0.482, 0.125, 0.857], [0.875, 0.732, 0.357], [0.250, 0.750, 0.500], [0.500, 0.500, 0.000]],
  "ef_kj_per_mol_atoms": 8.3,
  "final_energy_ev_per_atom": -2.34,
  "rho_g_cm3": 5.77
}

---

{
  "formula": "RbTl10Sn2",
  "functional": "PBE",
  "state": "relaxed",
  "lattice_angstrom": [[0.000, 7.919, 8.323], [3.246, 0.000, 8.323], [3.246, 7.919, 0.000]],
  "species": ["Rb", "Tl", "Tl", "Tl", "Tl", "Tl", "Tl", "Tl", "Tl", "Tl", "Tl", "Sn", "Sn"],
  "fractional_positions": [[0.000, 0.000, 0.000], [0.000, 0.000, 0.500], [0.005, 0.356, 0.644], [0.283, 0.495, 0.505], [0.356, 0.005, 0.995], [0.495, 0.283, 0.717], [0.500, 0.500, 0.000], [0.505, 0.717, 0.283], [0.644, 0.995, 0.005], [0.717, 0.505, 0.495], [0.995, 0.644, 0.356], [0.000, 0.500, 0.000], [0.500, 0.000, 0.500]],
  "ef_kj_per_mol_atoms": -1.6,
  "final_energy_ev_per_atom": -2.53,
  "rho_g_cm3": 9.19
}

---

{
  "formula": "RbTl2Sn2",
  "functional": "PBE",
  "state": "relaxed",
  "lattice_angstrom": [[-2.737, 2.737, 5.891], [2.737, -2.737, 5.891], [2.737, 2.737, -5.891]],
  "species": ["Rb", "Tl", "Tl", "Sn", "Sn"],
  "fractional_positions": [[0.000, 0.000, 0.000], [0.250, 0.750, 0.500], [0.750, 0.250, 0.500], [0.377, 0.377, 0.000], [0.623, 0.623, 0.000]],
  "ef_kj_per_mol_atoms": -10.8,
  "final_energy_ev_per_atom": -2.85,
  "rho_g_cm3": 6.88
}

---

{
  "formula": "RbTlSn3",
  "functional": "PBE",
  "state": "relaxed",
  "lattice_angstrom": [[6.132, 0.000, 0.000], [0.000, 6.132, 0.000], [0.000, 0.000, 6.132]],
  "species": ["Rb", "Tl", "Sn", "Sn", "Sn"],
  "fractional_positions": [[0.000, 0.000, 0.000], [0.500, 0.500, 0.500], [0.000, 0.000, 0.500], [0.000, 0.500, 0.000], [0.500, 0.000, 0.000]],
  "ef_kj_per_mol_atoms": 103.6,
  "final_energy_ev_per_atom": -2.00,
  "rho_g_cm3": 4.65
}

---

{
  "formula": "RbTl2Sn",
  "functional": "PBE",
  "state": "relaxed",
  "lattice_angstrom": [[7.334, 0.000, 0.000], [0.000, 9.635, 0.000], [-6.383, 0.000, 8.386]],
  "species": ["Rb", "Rb", "Rb", "Rb", "Tl", "Tl", "Tl", "Tl", "Tl", "Tl", "Tl", "Tl", "Sn", "Sn", "Sn", "Sn"],
  "fractional_positions": [[0.134, 0.026, 0.243], [0.134, 0.474, 0.743], [0.866, 0.526, 0.257], [0.866, 0.974, 0.757], [0.276, 0.117, 0.658], [0.276, 0.383, 0.158], [0.498, 0.164, 0.038], [0.498, 0.336, 0.538], [0.502, 0.664, 0.462], [0.502, 0.836, 0.962], [0.724, 0.617, 0.842], [0.724, 0.883, 0.342], [0.249, 0.697, 0.096], [0.249, 0.803, 0.596], [0.751, 0.197, 0.404], [0.751, 0.303, 0.904]],
  "ef_kj_per_mol_atoms": -7.6,
  "final_energy_ev_per_atom": -2.50,
  "rho_g_cm3": 6.87
}

---

{
  "formula": "Rb2Tl6Sn",
  "functional": "PBE",
  "state": "relaxed",
  "lattice_angstrom": [[4.217, 0.000, 0.000], [-2.101, 9.303, 0.000], [-0.030, -4.846, 8.307]],
  "species": ["Rb", "Rb", "Tl", "Tl", "Tl", "Tl", "Tl", "Tl", "Sn"],
  "fractional_positions": [[0.125, 0.252, 0.202], [0.875, 0.748, 0.798], [0.207, 0.419, 0.847], [0.362, 0.722, 0.461], [0.448, 0.885, 0.189], [0.552, 0.115, 0.811], [0.638, 0.278, 0.539], [0.793, 0.581, 0.153], [0.000, 0.000, 0.500]],
  "ef_kj_per_mol_atoms": -7.3,
  "final_energy_ev_per_atom": -2.31,
  "rho_g_cm3": 7.72
}

---

{
  "formula": "Rb2Tl5Sn3",
  "functional": "PBE",
  "state": "relaxed",
  "lattice_angstrom": [[-6.213, 7.680, 3.745], [6.213, -7.680, 3.745], [6.213, 7.680, -3.745]],
  "species": ["Rb", "Rb", "Rb", "Rb", "Tl", "Tl", "Tl", "Tl", "Tl", "Tl", "Tl", "Tl", "Tl", "Tl", "Sn", "Sn", "Sn", "Sn", "Sn", "Sn"],
  "fractional_positions": [[0.126, 0.247, 0.373], [0.374, 0.747, 0.121], [0.626, 0.253, 0.879], [0.874, 0.753, 0.627], [0.005, 0.750, 0.255], [0.120, 0.871, 0.991], [0.250, 0.750, 0.500], [0.380, 0.371, 0.751], [0.495, 0.750, 0.745], [0.505, 0.250, 0.255], [0.620, 0.629, 0.249], [0.750, 0.250, 0.500], [0.880, 0.129, 0.009], [0.995, 0.250, 0.745], [0.122, 0.631, 0.754], [0.250, 0.250, 0.000], [0.378, 0.131, 0.509], [0.622, 0.869, 0.491], [0.750, 0.750, 0.000], [0.878, 0.369, 0.246]],
  "ef_kj_per_mol_atoms": -7.8,
  "final_energy_ev_per_atom": -2.66,
  "rho_g_cm3": 7.20
}

---

{
  "formula": "RbTl2Sn",
  "functional": "PBE",
  "state": "relaxed",
  "lattice_angstrom": [[2.529, 1.460, 7.114], [-2.529, 1.460, 7.114], [0.000, -2.921, 7.114]],
  "species": ["Rb", "Tl", "Tl", "Sn"],
  "fractional_positions": [[0.000, 0.000, 0.000], [0.216, 0.216, 0.216], [0.437, 0.437, 0.437], [0.817, 0.817, 0.817]],
  "ef_kj_per_mol_atoms": -7.3,
  "final_energy_ev_per_atom": -2.50,
  "rho_g_cm3": 6.46
}